Record 1
Density functional theory data (PBE) for crystalline Li3Np2AgTe6 at its relaxed geometry.

Output
volume = 27.920 Å³ per atom
energy relative to the elements, uncorrected = -64.0 kJ per mole of atoms
density of states at the Fermi level = 16.068 states/eV/f.u.
space-group type = C2/m

Lattice parameters (Å, degrees): 7.434 7.434 7.422 99.61 99.61 119.95
Positions (direct):
Li  0.000  0.000  0.000
Li  0.334  0.666  0.000
Li  0.666  0.334  0.000
Np  0.167  0.833  0.500
Np  0.833  0.167  0.500
Ag  0.500  0.500  0.500
Te  0.079  0.415  0.246
Te  0.248  0.248  0.756
Te  0.415  0.079  0.246
Te  0.585  0.921  0.754
Te  0.752  0.752  0.244
Te  0.921  0.585  0.754

---

Record 2
Density functional theory data (PBE) for crystalline ScInCl2 at its relaxed geometry.

Output
volume = 27.192 Å³ per atom
energy relative to the elements, uncorrected = -113.7 kJ per mole of atoms
density of states at the Fermi level = 2.655 states/eV/f.u.
space-group type = Cm
offset from the most stable computed form = 92 meV per atom

Lattice parameters (Å, degrees): 6.181 6.181 6.113 116.88 116.88 31.85
Positions (direct):
Sc  0.000  0.000  0.000
In  0.268  0.268  0.527
Cl  0.432  0.432  0.219
Cl  0.618  0.618  0.882

---

Record 3
Density functional theory data (PBE) for crystalline La3NdIn at its relaxed geometry.

Output
volume = 32.940 Å³ per atom
density of states at the Fermi level = 6.195 states/eV/f.u.
space-group type = Cmcm
DFT formation energy = -102 kJ/mol of formula units
offset from the most stable computed form = 0 meV per atom

Lattice parameters (Å, degrees): 13.505 13.505 4.981 90.00 90.00 158.74
Positions (direct):
La  0.054  0.946  0.750
La  0.250  0.750  0.750
La  0.443  0.557  0.750
La  0.557  0.443  0.250
La  0.750  0.250  0.250
La  0.946  0.054  0.250
Nd  0.347  0.653  0.250
Nd  0.653  0.347  0.750
In  0.153  0.847  0.250
In  0.847  0.153  0.750

---

Record 4
Density functional theory data (PBE) for crystalline RbNaCd3 at its relaxed geometry.

Output
volume = 32.018 Å³ per atom
density of states at the Fermi level = 1.884 states/eV/f.u.
space-group type = Pnma
DFT formation energy = -9 kJ/mol of formula units
offset from the most stable computed form = 50 meV per atom

Lattice parameters (Å, degrees): 6.167 8.336 12.455 90.00 90.00 90.00
Positions (direct):
Rb  0.000  0.250  0.013
Rb  0.000  0.750  0.987
Rb  0.500  0.250  0.487
Rb  0.500  0.750  0.513
Na  0.000  0.000  0.500
Na  0.000  0.500  0.500
Na  0.500  0.000  0.000
Na  0.500  0.500  0.000
Cd  0.000  0.250  0.308
Cd  0.000  0.750  0.692
Cd  0.249  0.068  0.750
Cd  0.249  0.432  0.750
Cd  0.251  0.568  0.250
Cd  0.251  0.932  0.250
Cd  0.500  0.250  0.192
Cd  0.500  0.750  0.808
Cd  0.749  0.068  0.750
Cd  0.749  0.432  0.750
Cd  0.751  0.568  0.250
Cd  0.751  0.932  0.250

---

How do the records compare in calculated density? In the order shown, they have 6.78, 3.52, 6.81, 4.62 g/cm³.
How do the records compare in energy? In the order shown, they have -5.107, -4.369, -4.669, -1.026 eV/atom.